Entry 1:
Compound: LiNd2Ni12P3
Source: the Alexandria database
Functional: GGA-PBE
Structure: relaxed

Properties
- density of states at the Fermi level (states/eV per cell) = 13.2
- ΔH_f (0 K) (meV per atom) = -134.8
- DFT total energy (eV per atom) = -5.5268
- symmetry = R-3m

Lattice parameters (Å, degrees): 6.2876 6.2876 6.2876 84.79 84.79 84.79
Fractional positions:
Li: 0.0000 0.0000 0.0000
Nd: 0.3458 0.3458 0.3458
Nd: 0.6542 0.6542 0.6542
Ni: 0.1040 0.6255 0.6255
Ni: 0.1763 0.1763 0.6941
Ni: 0.1763 0.6941 0.1763
Ni: 0.3059 0.8237 0.8237
Ni: 0.3745 0.3745 0.8960
Ni: 0.3745 0.8960 0.3745
Ni: 0.6255 0.1040 0.6255
Ni: 0.6255 0.6255 0.1040
Ni: 0.6941 0.1763 0.1763
Ni: 0.8237 0.3059 0.8237
Ni: 0.8237 0.8237 0.3059
Ni: 0.8960 0.3745 0.3745
P: 0.0000 0.0000 0.5000
P: 0.0000 0.5000 0.0000
P: 0.5000 0.0000 0.0000

=====

Entry 2:
Compound: SbTe2SBr
Source: the Alexandria database
Functional: GGA-PBE
Structure: relaxed

Properties
- density of states at the Fermi level (states/eV per cell) = 10.1
- formation energy without anion corrections (eV/atom) = 1.23
- DFT total energy (eV per atom) = -2.0085
- energy above the lowest structure with this stoichiometry (kJ per mole of atoms) = 72.28
- symmetry = P4/mmm

Lattice parameters (Å, degrees): 5.4735 5.4735 5.6780 90.00 90.00 90.00
Fractional positions:
Sb: 0.0000 0.0000 0.0000
Te: 0.0000 0.5000 0.5000
Te: 0.5000 0.0000 0.5000
S: 0.5000 0.5000 0.0000
Br: 0.0000 0.0000 0.5000

=====

Entry 3:
Compound: ZrAl2Zn
Source: the Alexandria database
Functional: GGA-PBE
Structure: relaxed

Properties
- density of states at the Fermi level (states/eV per cell) = 15.0
- ΔH_f (0 K) (meV per atom) = -7.8
- DFT total energy (eV per atom) = -4.3346
- symmetry = F-43m

Lattice parameters (Å, degrees): 6.5544 6.5544 6.5544 90.00 90.00 90.00
Fractional positions:
Zr: 0.0000 0.0000 0.0000
Zr: 0.0000 0.5000 0.5000
Zr: 0.5000 0.0000 0.5000
Zr: 0.5000 0.5000 0.0000
Al: 0.0000 0.0000 0.5000
Al: 0.0000 0.5000 0.0000
Al: 0.2500 0.2500 0.2500
Al: 0.2500 0.7500 0.7500
Al: 0.5000 0.0000 0.0000
Al: 0.5000 0.5000 0.5000
Al: 0.7500 0.2500 0.7500
Al: 0.7500 0.7500 0.2500
Zn: 0.2500 0.2500 0.7500
Zn: 0.2500 0.7500 0.2500
Zn: 0.7500 0.2500 0.2500
Zn: 0.7500 0.7500 0.7500